Version P
A plane-wave DFT calculation with PBE was carried out for MnAsOsSe2 after structural relaxation.

Calculated values
Space-group type ... P4/mmm (123)
Magnetic moment ... 4.10 μB/cell

Unit cell a=5.098 b=5.098 c=4.590 alpha=90.00 beta=90.00 gamma=90.00
Fractional coordinates of all 5 atoms:
Mn: 0.000 0.000 0.000
As: 0.500 0.500 0.000
Os: 0.500 0.500 0.500
Se: 0.000 0.500 0.500
Se: 0.500 0.000 0.500

Version Q
A plane-wave DFT calculation with PBE was carried out for MnAsOsSe2 after structural relaxation.

Calculated values
Space-group type ... P4/mmm (123)
Magnetic moment ... 0.00 μB/cell

Unit cell a=4.525 b=4.525 c=4.498 alpha=90.00 beta=90.00 gamma=90.00
Fractional coordinates of all 5 atoms:
Mn: 0.000 0.000 0.000
As: 0.000 0.000 0.500
Os: 0.500 0.500 0.500
Se: 0.000 0.500 0.000
Se: 0.500 0.000 0.000

Question: of the structures shown, which is the most stable? Reply: version P.